[1]
This record from Alexandria describes Ca2PbCl after structural relaxation. The functional is GGA-PBE.

Summary:
Calculated density (g/cm³): 4.4
Formation energy from raw total energies (meV/atom): -331
Symmetry: No. 216
Polymorph energy (0 for the lowest one) (eV per atom): 0.845

Cell and atoms, written as POSCAR:
```
Ca2PbCl
1.0
5.581 0.000 0.000
2.791 4.833 0.000
2.791 1.611 4.557
Ca Pb Cl
2 1 1
direct
0.000 0.000 0.000
0.250 0.250 0.250
0.750 0.750 0.750
0.500 0.500 0.500
```

***

[2]
This record from Alexandria describes Ca4PbCl after structural relaxation. The functional is GGA-PBE.

Summary:
Calculated density (g/cm³): 3.0
Formation energy from raw total energies (meV/atom): -77
Symmetry: No. 216

Cell and atoms, written as POSCAR:
```
Ca4PbCl
1.0
0.000 4.795 4.795
4.795 0.000 4.795
4.795 4.795 0.000
Ca Cl Pb
4 1 1
direct
0.374 0.374 0.374
0.374 0.374 0.879
0.879 0.374 0.374
0.374 0.879 0.374
0.750 0.750 0.750
0.000 0.000 0.000
```

***

[3]
This record from Alexandria describes CaPbCl6 after structural relaxation. The functional is GGA-PBE.

Summary:
Calculated density (g/cm³): 3.3
Formation energy from raw total energies (meV/atom): -1238
Symmetry: No. 148

Cell and atoms, written as POSCAR:
```
CaPbCl6
1.0
6.651 0.010 0.009
3.318 5.764 0.011
3.316 1.916 6.063
Pb Ca Cl
1 1 6
direct
0.000 0.000 0.000
0.500 0.500 0.500
0.595 0.233 0.244
0.928 0.595 0.244
0.233 0.928 0.244
0.405 0.767 0.756
0.072 0.405 0.756
0.767 0.072 0.756
```

***

[4]
This record from Alexandria describes CaPb2Cl after structural relaxation. The functional is GGA-PBE.

Summary:
Calculated density (g/cm³): 6.5
Formation energy from raw total energies (meV/atom): -655
Symmetry: No. 65
Polymorph energy (0 for the lowest one) (eV per atom): 0.207

Cell and atoms, written as POSCAR:
```
CaPb2Cl
1.0
6.608 0.000 0.000
0.000 4.355 0.029
0.000 0.080 4.354
Pb Cl Ca
2 1 1
direct
0.000 0.493 0.493
0.000 0.007 0.007
0.500 0.750 0.750
0.500 0.250 0.250
```

***

[5]
This record from Alexandria describes CaPbCl2 after structural relaxation. The functional is GGA-PBE.

Summary:
Calculated density (g/cm³): 3.4
Formation energy from raw total energies (meV/atom): -1090
Symmetry: No. 122
Polymorph energy (0 for the lowest one) (eV per atom): 0.436

Cell and atoms, written as POSCAR:
```
CaPbCl2
1.0
7.316 0.000 0.000
0.000 7.316 0.000
3.658 3.658 5.872
Ca Cl Pb
2 4 2
direct
0.500 0.500 0.000
0.250 0.750 0.500
0.530 0.125 0.250
0.375 0.470 0.750
0.875 0.780 0.750
0.220 0.625 0.250
0.000 0.000 0.000
0.750 0.250 0.500
```

***

[6]
This record from Alexandria describes CaPbCl4 after structural relaxation. The functional is GGA-PBE.

Summary:
Calculated density (g/cm³): 4.1
Formation energy from raw total energies (meV/atom): -412
Symmetry: No. 216

Cell and atoms, written as POSCAR:
```
CaPbCl4
1.0
0.000 4.284 4.284
4.284 0.000 4.284
4.284 4.284 0.000
Cl Pb Ca
4 1 1
direct
0.374 0.878 0.374
0.878 0.374 0.374
0.374 0.374 0.374
0.374 0.374 0.878
0.750 0.750 0.750
0.000 0.000 0.000
```

***

[7]
This record from Alexandria describes Ca2PbCl6 after structural relaxation. The functional is GGA-PBE.

Summary:
Calculated density (g/cm³): 2.5
Formation energy from raw total energies (meV/atom): -1896
Symmetry: No. 12
Polymorph energy (0 for the lowest one) (eV per atom): 0.080

Cell and atoms, written as POSCAR:
```
Ca2PbCl6
1.0
-1.363 -4.474 0.870
6.537 -0.116 -3.361
3.491 0.749 9.321
Cl Ca Pb
6 2 1
direct
0.818 0.637 0.101
0.081 0.162 0.252
0.374 0.748 0.412
0.182 0.363 0.899
0.919 0.838 0.748
0.626 0.252 0.588
0.748 0.495 0.821
0.252 0.505 0.179
0.000 0.000 0.500
```

***

[8]
This record from Alexandria describes CaPbCl2 after structural relaxation. The functional is GGA-PBE.

Summary:
Calculated density (g/cm³): 4.8
Formation energy from raw total energies (meV/atom): -634
Symmetry: No. 216
Polymorph energy (0 for the lowest one) (eV per atom): 0.893

Cell and atoms, written as POSCAR:
```
CaPbCl2
1.0
5.382 0.000 0.000
2.691 4.661 0.000
2.691 1.554 4.394
Pb Cl Ca
1 2 1
direct
0.750 0.750 0.750
0.250 0.250 0.250
0.000 0.000 0.000
0.500 0.500 0.500
```

***

[9]
This record from Alexandria describes CaPbCl2 after structural relaxation. The functional is GGA-PBE.

Summary:
Calculated density (g/cm³): 5.0
Formation energy from raw total energies (meV/atom): -927
Symmetry: No. 225
Polymorph energy (0 for the lowest one) (eV per atom): 0.600

Cell and atoms, written as POSCAR:
```
CaPbCl2
1.0
-0.108 -4.513 -2.759
-4.509 -1.621 -2.244
-0.531 0.129 -5.263
Cl Ca Pb
2 1 1
direct
0.750 0.750 0.750
0.250 0.250 0.250
0.000 0.000 0.000
0.500 0.500 0.500
```

***

[10]
This record from Alexandria describes Ca2PbCl after structural relaxation. The functional is GGA-PBE.

Summary:
Calculated density (g/cm³): 4.7
Formation energy from raw total energies (meV/atom): -989
Symmetry: No. 65
Polymorph energy (0 for the lowest one) (eV per atom): 0.186

Cell and atoms, written as POSCAR:
```
Ca2PbCl
1.0
3.745 0.039 0.000
-0.059 3.744 0.000
0.000 0.000 8.214
Pb Ca Cl
1 2 1
direct
0.500 0.500 0.750
0.000 0.000 0.508
0.000 0.000 0.992
0.500 0.500 0.250
```

***

[11]
This record from Alexandria describes CaPbCl2 after structural relaxation. The functional is GGA-PBE.

Summary:
Calculated density (g/cm³): 5.1
Formation energy from raw total energies (meV/atom): -983
Symmetry: No. 123
Polymorph energy (0 for the lowest one) (eV per atom): 0.544

Cell and atoms, written as POSCAR:
```
CaPbCl2
1.0
4.890 0.000 0.000
0.000 4.890 0.000
0.000 0.000 4.335
Cl Ca Pb
2 1 1
direct
0.000 0.000 0.000
0.500 0.500 0.000
0.000 0.500 0.500
0.500 0.000 0.500
```

***

[12]
This record from Alexandria describes CaPbCl2 after structural relaxation. The functional is GGA-PBE.

Summary:
Calculated density (g/cm³): 5.0
Formation energy from raw total energies (meV/atom): -950
Symmetry: No. 65
Polymorph energy (0 for the lowest one) (eV per atom): 0.576

Cell and atoms, written as POSCAR:
```
CaPbCl2
1.0
5.497 0.003 0.000
-1.417 5.311 0.000
0.000 0.000 3.650
Ca Pb Cl
1 1 2
direct
0.000 0.500 0.500
0.500 0.000 0.500
0.000 0.000 0.000
0.500 0.500 0.000
```